PBE BaLi2SnAu4, relaxed; density of states at the Fermi level = 2.55 states/eV/cell; E = -0.2456 Ry per atom
1.0
-3.3897 0.1156 3.1993
1.0668 -0.1928 4.5347
-0.1858 9.6626 2.8516
Ba Li Sn Au
1 2 1 4
Cartesian
0.0000 0.0000 0.0000 Ba
-1.9173 6.6008 7.9226 Li
-0.5915 2.9845 2.6630 Li
-1.2544 4.7927 5.2928 Sn
-1.0849 7.5821 5.3716 Au
-2.1073 3.4730 7.8343 Au
-0.4015 6.1123 2.7513 Au
-1.4238 2.0032 5.2140 Au